A relaxed structure of As3Rh. Source: the Alexandria database, functional PBE-GGA.

Cell: 5.2076 5.2076 5.2076 Å, 90.00 90.00 90.00°
Positions (direct):
As (0.0000, 0.2500, 0.5000)
As (0.0000, 0.7500, 0.5000)
As (0.2500, 0.5000, 0.0000)
As (0.5000, 0.0000, 0.2500)
As (0.5000, 0.0000, 0.7500)
As (0.7500, 0.5000, 0.0000)
Rh (0.0000, 0.0000, 0.0000)
Rh (0.5000, 0.5000, 0.5000)

Summary:
Excess energy over the best structure of this formula in the dataset   672 meV per atom
M_tot   0.000 μB per atom
Crystal system   cubic

=====

A relaxed structure of Be2HgP. Source: the Alexandria database, functional PBE-GGA.

Cell: 6.1361 6.1361 6.1361 Å, 149.74 149.45 43.54°
Positions (direct):
Be (0.0000, 0.0000, 0.0000)
Be (0.8526, 0.3526, 0.5000)
Hg (0.2138, 0.7138, 0.5000)
P (0.4799, 0.4799, 0.0000)

Summary:
Excess energy over the best structure of this formula in the dataset   123 meV per atom
M_tot   0.000 μB per atom
Crystal system   orthorhombic